[1]
First-principles (PBE) data for crystalline V3TcMo at its relaxed geometry, as listed in the Alexandria database.

Geometry as POSCAR:
```
V3TcMo
1.0
2.1527 -7.5841 0.0000
2.1527 7.5841 0.0000
0.0000 0.0000 4.2936
V Tc Mo
6 2 2
direct
0.0508 0.9492 0.7500
0.2503 0.7497 0.7500
0.4494 0.5506 0.7500
0.5506 0.4494 0.2500
0.7497 0.2503 0.2500
0.9492 0.0508 0.2500
0.1484 0.8516 0.2500
0.8516 0.1484 0.7500
0.3512 0.6488 0.2500
0.6488 0.3512 0.7500
```

Electronic total energy (eV per atom): -9.961
M_tot (μB per atom): 0.000
DFT formation energy (eV/atom): -0.2501

***

[2]
First-principles (PBE) data for crystalline Tm8Tc2Bi at its relaxed geometry, as listed in the Alexandria database.

Geometry as POSCAR:
```
Tm8Tc2Bi
1.0
6.7507 -4.2833 0.0000
6.7507 4.2833 0.0000
-0.8513 0.0000 5.5126
Tm Tc Bi
8 2 1
direct
0.0341 0.0341 0.2642
0.1706 0.5638 0.0612
0.2626 0.2626 0.5187
0.4362 0.8294 0.9388
0.5638 0.1706 0.0612
0.7374 0.7374 0.4813
0.8294 0.4362 0.9388
0.9659 0.9659 0.7358
0.1855 0.1855 0.9742
0.8145 0.8145 0.0258
0.5000 0.5000 0.5000
```

Electronic total energy (eV per atom): -5.515
M_tot (μB per atom): 0.000
DFT formation energy (eV/atom): -0.0251

***

[3]
First-principles (PBE) data for crystalline PmThGaTc at its relaxed geometry, as listed in the Alexandria database.

Geometry as POSCAR:
```
PmThGaTc
1.0
3.9419 0.0000 0.0000
0.0000 2.0765 5.9541
0.0000 -2.0765 5.9541
Pm Th Ga Tc
1 1 1 1
direct
0.0000 0.0000 0.0000
0.5000 0.7226 0.7226
0.5000 0.4168 0.4168
0.0000 0.2667 0.2667
```

Electronic total energy (eV per atom): -6.737
M_tot (μB per atom): 0.000
DFT formation energy (eV/atom): -0.3465

***

[4]
First-principles (PBE) data for crystalline AlGe at its relaxed geometry, as listed in the Alexandria database.

Geometry as POSCAR:
```
AlGe
1.0
6.2503 0.0000 0.0000
0.0000 7.8125 0.0000
0.0000 0.0000 8.1462
Al Ge
8 8
direct
0.0952 0.0814 0.1902
0.2402 0.3718 0.4210
0.2598 0.6282 0.9210
0.4048 0.9186 0.6902
0.5952 0.4186 0.8098
0.7402 0.1282 0.5790
0.7598 0.8718 0.0790
0.9048 0.5814 0.3098
0.1378 0.0809 0.5236
0.1625 0.3951 0.1183
0.3375 0.6049 0.6183
0.3622 0.9191 0.0236
0.6378 0.4191 0.4764
0.6625 0.1049 0.8817
0.8375 0.8951 0.3817
0.8622 0.5809 0.9764
```

Electronic total energy (eV per atom): -3.958
M_tot (μB per atom): 0.000
DFT formation energy (eV/atom): 0.2220

***

[5]
First-principles (PBE) data for crystalline Mg17As6O32 at its relaxed geometry, as listed in the Alexandria database.

Geometry as POSCAR:
```
Mg17As6O32
1.0
9.9620 0.0000 0.0000
0.0000 6.1296 0.0000
-3.7480 0.0000 9.8510
Mg As O
17 6 32
direct
0.0000 0.0000 0.0000
0.0013 0.2598 0.7391
0.0013 0.7402 0.7391
0.2550 0.2590 0.5041
0.2550 0.7410 0.5041
0.2643 0.0000 0.7533
0.2653 0.2468 0.0049
0.2653 0.7532 0.0049
0.2704 0.5000 0.2579
0.7296 0.5000 0.7421
0.7347 0.2468 0.9951
0.7347 0.7532 0.9951
0.7357 0.0000 0.2467
0.7450 0.2590 0.4959
0.7450 0.7410 0.4959
0.9987 0.2598 0.2609
0.9987 0.7402 0.2609
0.0000 0.0000 0.5000
0.0000 0.5000 0.0000
0.4214 0.5000 0.8076
0.4244 0.0000 0.3109
0.5756 0.0000 0.6891
0.5786 0.5000 0.1924
0.1155 0.0000 0.3905
0.1154 0.5000 0.8914
0.1165 0.2829 0.1091
0.1165 0.7171 0.1091
0.1198 0.2077 0.6143
0.1198 0.7923 0.6143
0.1335 0.0000 0.8797
0.1425 0.5000 0.3678
0.3669 0.0000 0.1361
0.3672 0.2690 0.8671
0.3672 0.7310 0.8671
0.3676 0.2303 0.3676
0.3676 0.7697 0.3676
0.3689 0.5000 0.6352
0.3875 0.0000 0.6283
0.3891 0.5000 0.1281
0.6109 0.5000 0.8719
0.6125 0.0000 0.3717
0.6311 0.5000 0.3648
0.6324 0.2303 0.6324
0.6324 0.7697 0.6324
0.6331 0.0000 0.8639
0.6328 0.2690 0.1329
0.6328 0.7310 0.1329
0.8575 0.5000 0.6322
0.8665 0.0000 0.1203
0.8802 0.2077 0.3857
0.8802 0.7923 0.3857
0.8835 0.2829 0.8909
0.8835 0.7171 0.8909
0.8845 0.0000 0.6095
0.8846 0.5000 0.1086
```

Electronic total energy (eV per atom): -6.113
M_tot (μB per atom): 0.000
Uncorrected formation energy (eV/atom): -2.2277

***

[6]
First-principles (PBE) data for crystalline LaCoMo2 at its relaxed geometry, as listed in the Alexandria database.

Geometry as POSCAR:
```
LaCoMo2
1.0
4.5797 0.0000 0.0000
0.0000 4.5797 0.0000
0.0000 0.0000 3.2992
La Co Mo
1 1 2
direct
0.0000 0.0000 0.0000
0.5000 0.5000 0.0000
0.0000 0.5000 0.5000
0.5000 0.0000 0.5000
```

Electronic total energy (eV per atom): -7.607
M_tot (μB per atom): 0.449
DFT formation energy (eV/atom): 0.8174

***

[7]
First-principles (PBE) data for crystalline RbGa3Sn3 at its relaxed geometry, as listed in the Alexandria database.

Geometry as POSCAR:
```
RbGa3Sn3
1.0
7.7077 0.0000 0.0000
0.0000 7.7077 0.0000
0.0000 0.0000 7.7077
Rb Ga Sn
2 6 6
direct
0.0000 0.0000 0.0000
0.5000 0.5000 0.5000
0.0000 0.2500 0.5000
0.0000 0.7500 0.5000
0.2500 0.5000 0.0000
0.5000 0.0000 0.2500
0.5000 0.0000 0.7500
0.7500 0.5000 0.0000
0.0000 0.5000 0.2500
0.0000 0.5000 0.7500
0.2500 0.0000 0.5000
0.5000 0.2500 0.0000
0.5000 0.7500 0.0000
0.7500 0.0000 0.5000
```

Electronic total energy (eV per atom): -3.211
M_tot (μB per atom): 0.000
DFT formation energy (eV/atom): -0.0605

***

[8]
First-principles (PBE) data for crystalline LaCr2Re at its relaxed geometry, as listed in the Alexandria database.

Geometry as POSCAR:
```
LaCr2Re
1.0
3.3286 0.0000 0.0000
0.0000 4.6170 0.0000
0.0000 0.0000 4.7504
La Cr Re
1 2 1
direct
0.0000 0.0000 0.0000
0.0000 0.5000 0.5000
0.5000 0.0000 0.5000
0.5000 0.5000 0.0000
```

Electronic total energy (eV per atom): -8.378
M_tot (μB per atom): 0.160
DFT formation energy (eV/atom): 0.7778

***

Question: Which of these has the highest electronic total energy?
Answer: RbGa3Sn3

***

Question: electronic total energy of number 6 (LaCoMo2)?
Answer: -7.607 eV per atom

***

What did the fourth record say?
First-principles (PBE) data for crystalline AlGe at its relaxed geometry, as listed in the Alexandria database.

Geometry as POSCAR:
```
AlGe
1.0
6.2503 0.0000 0.0000
0.0000 7.8125 0.0000
0.0000 0.0000 8.1462
Al Ge
8 8
direct
0.0952 0.0814 0.1902
0.2402 0.3718 0.4210
0.2598 0.6282 0.9210
0.4048 0.9186 0.6902
0.5952 0.4186 0.8098
0.7402 0.1282 0.5790
0.7598 0.8718 0.0790
0.9048 0.5814 0.3098
0.1378 0.0809 0.5236
0.1625 0.3951 0.1183
0.3375 0.6049 0.6183
0.3622 0.9191 0.0236
0.6378 0.4191 0.4764
0.6625 0.1049 0.8817
0.8375 0.8951 0.3817
0.8622 0.5809 0.9764
```

Electronic total energy (eV per atom): -3.958
M_tot (μB per atom): 0.000
DFT formation energy (eV/atom): 0.2220